Below is a geometry-optimized CrO2 structure, with properties calculated at the PBE+U level.

Cell: 4.3293 5.4915 5.0179 Å, 90.00 90.00 90.00°
With the nearest neighbours (Å) after each atom.
Sites, in units of the cell vectors:
Cr 0.0000 0.1449 0.2500  6 O 1.93-1.97
Cr 0.0000 0.8551 0.7500  6 O 1.93-1.97
Cr 0.5000 0.3551 0.7500  6 O 1.93-1.97
Cr 0.5000 0.6449 0.2500  6 O 1.93-1.97
O 0.2362 0.1165 0.5839  3 Cr 1.93-1.97
O 0.2362 0.8835 0.0839  3 Cr 1.93-1.97
O 0.2638 0.3835 0.0839  3 Cr 1.93-1.97
O 0.2638 0.6165 0.5839  3 Cr 1.93-1.97
O 0.7362 0.3835 0.4161  3 Cr 1.93-1.97
O 0.7362 0.6165 0.9161  3 Cr 1.93-1.97
O 0.7638 0.1165 0.9161  3 Cr 1.93-1.97
O 0.7638 0.8835 0.4161  3 Cr 1.93-1.97

* symmetry: Pbcn, No. 60
* final energy: -7.390 eV per atom